No. 1
# PrNdSO2 PBE optimized geometry
# * E_tot: -38.87 eV/cell
data_PrNdSO2
_chemical_formula_sum 'Pr1 Nd1 S1 O2'
_symmetry_space_group_name_H-M 'P 3 m 1'
_symmetry_Int_Tables_number 156
_symmetry_space_group_name_Hall 'P 3 -2"'
_cell_length_a 3.9761
_cell_length_b 3.9761
_cell_length_c 6.8211
_cell_angle_alpha 90.00
_cell_angle_beta 90.00
_cell_angle_gamma 120.00
loop_
_atom_site_label
_atom_site_type_symbol
_atom_site_fract_x
_atom_site_fract_y
_atom_site_fract_z
_atom_site_occupancy
Pr1 Pr 0.0000 0.0000 0.0000 1
Nd1 Nd 0.6667 0.3333 0.4419 1
S1 S 0.3333 0.6667 0.7197 1
O1 O 0.0000 0.0000 0.3531 1
O2 O 0.6667 0.3333 0.0929 1

No. 2
# NdPbNO PBE optimized geometry
# * ΔE to the lowest computed polymorph: 69 meV/atom
data_NdPbNO
_chemical_formula_sum 'Nd2 Pb2 N2 O2'
_symmetry_space_group_name_H-M 'P 4/n m m'
_symmetry_Int_Tables_number 129
_cell_length_a 5.186
_cell_length_b 5.186
_cell_length_c 5.127
_cell_angle_alpha 90.00
_cell_angle_beta 90.00
_cell_angle_gamma 90.00
loop_
_symmetry_equiv_pos_as_xyz
'x,y,z'
'-x,-y,-z'
'-y+1/2,x,z'
'y+1/2,-x,-z'
'-x+1/2,-y+1/2,z'
'x+1/2,y+1/2,-z'
'y,-x+1/2,z'
'-y,x+1/2,-z'
'x+1/2,-y,-z'
'-x+1/2,y,z'
'-y,-x,-z'
'y,x,z'
'-x,y+1/2,-z'
'x,-y+1/2,z'
'y+1/2,x+1/2,-z'
'-y+1/2,-x+1/2,z'
loop_
_atom_site_label
_atom_site_type_symbol
_atom_site_fract_x
_atom_site_fract_y
_atom_site_fract_z
_atom_site_occupancy
Nd1 Nd 0.250 0.750 0.000 1
Pb1 Pb 0.250 0.250 0.498 1
N1 N 0.250 0.250 0.031 1
O1 O 0.250 0.750 0.500 1

No. 3
# Cu2IBr PBE optimized geometry
# * E_tot: -11.38 eV/cell
data_Cu2IBr
_chemical_formula_sum 'Cu2 I1 Br1'
_symmetry_space_group_name_H-M 'P 3 m 1'
_symmetry_Int_Tables_number 156
_symmetry_space_group_name_Hall 'P 3 -2"'
_cell_length_a 4.1756
_cell_length_b 4.1756
_cell_length_c 6.7980
_cell_angle_alpha 90.00
_cell_angle_beta 90.00
_cell_angle_gamma 120.00
loop_
_atom_site_label
_atom_site_type_symbol
_atom_site_fract_x
_atom_site_fract_y
_atom_site_fract_z
_atom_site_occupancy
Cu1 Cu 0.0000 0.0000 0.0000 1
Cu2 Cu 0.3333 0.6667 0.4834 1
I1 I 0.3333 0.6667 0.8646 1
Br1 Br 0.0000 0.0000 0.3658 1

No. 4
# NbCuPbW PBE optimized geometry
# * ΔE to the lowest computed polymorph: 0 meV/atom
data_NbCuPbW
_chemical_formula_sum 'Nb4 Cu4 Pb4 W4'
_symmetry_space_group_name_H-M 'F -4 3 m'
_symmetry_Int_Tables_number 216
_symmetry_space_group_name_Hall 'F -4 2 3'
_cell_length_a 6.588
_cell_length_b 6.588
_cell_length_c 6.588
_cell_angle_alpha 90.00
_cell_angle_beta 90.00
_cell_angle_gamma 90.00
loop_
_atom_site_label
_atom_site_type_symbol
_atom_site_fract_x
_atom_site_fract_y
_atom_site_fract_z
_atom_site_occupancy
Nb1 Nb 0.000 0.000 0.000 1
Cu1 Cu 0.250 0.250 0.750 1
Pb1 Pb 0.000 0.000 0.500 1
W1 W 0.250 0.250 0.250 1

No. 5
# ErTe3PbAu PBE optimized geometry
# * ΔE to the lowest computed polymorph: 4 meV/atom
data_ErTe3PbAu
_chemical_formula_sum 'Er4 Te12 Pb4 Au4'
_symmetry_space_group_name_H-M 'P n m a'
_symmetry_Int_Tables_number 62
_symmetry_space_group_name_Hall '-P 2ac 2n'
_cell_length_a 10.777
_cell_length_b 4.411
_cell_length_c 16.465
_cell_angle_alpha 90.00
_cell_angle_beta 90.00
_cell_angle_gamma 90.00
loop_
_atom_site_label
_atom_site_type_symbol
_atom_site_fract_x
_atom_site_fract_y
_atom_site_fract_z
_atom_site_occupancy
Er1 Er 0.171 0.250 0.022 1
Te1 Te 0.023 0.750 0.110 1
Te2 Te 0.150 0.250 0.471 1
Te3 Te 0.152 0.750 0.679 1
Pb1 Pb 0.052 0.750 0.301 1
Au1 Au 0.237 0.750 0.828 1

No. 6
# CsSmPbS3 PBE optimized geometry
# * ΔE to the lowest computed polymorph: 77 meV/atom
data_CsSmPbS3
_chemical_formula_sum 'Cs4 Sm4 Pb4 S12'
_symmetry_space_group_name_H-M 'C m c m'
_symmetry_Int_Tables_number 63
_symmetry_space_group_name_Hall '-C 2c 2'
_cell_length_a 4.136
_cell_length_b 17.554
_cell_length_c 11.817
_cell_angle_alpha 90.00
_cell_angle_beta 90.00
_cell_angle_gamma 90.00
loop_
_atom_site_label
_atom_site_type_symbol
_atom_site_fract_x
_atom_site_fract_y
_atom_site_fract_z
_atom_site_occupancy
Cs1 Cs 0.000 0.178 0.250 1
Sm1 Sm 0.000 0.500 0.000 1
Pb1 Pb 0.000 0.104 0.750 1
S1 S 0.000 0.107 0.508 1
S2 S 0.000 0.499 0.750 1

No. 7
# YLu2Ag4Ge4 PBE optimized geometry
# * E_tot: -101.36 eV/cell
data_YLu2Ag4Ge4
_chemical_formula_sum 'Y2 Lu4 Ag8 Ge8'
_symmetry_space_group_name_H-M 'I m m m'
_symmetry_Int_Tables_number 71
_symmetry_space_group_name_Hall '-I 2 2'
_cell_length_a 4.283
_cell_length_b 7.151
_cell_length_c 14.416
_cell_angle_alpha 90.00
_cell_angle_beta 90.00
_cell_angle_gamma 90.00
loop_
_atom_site_label
_atom_site_type_symbol
_atom_site_fract_x
_atom_site_fract_y
_atom_site_fract_z
_atom_site_occupancy
Y1 Y 0.000 0.000 0.000 1
Lu1 Lu 0.000 0.500 0.125 1
Ag1 Ag 0.000 0.301 0.331 1
Ge1 Ge 0.000 0.000 0.218 1
Ge2 Ge 0.000 0.182 0.500 1

No. 8
# PrYZnTe3 PBE optimized geometry
# * E_tot: -111.83 eV/cell
data_PrYZnTe3
_chemical_formula_sum 'Pr4 Y4 Zn4 Te12'
_symmetry_space_group_name_H-M 'C m c m'
_symmetry_Int_Tables_number 63
_symmetry_space_group_name_Hall '-C 2c 2'
_cell_length_a 4.238
_cell_length_b 15.240
_cell_length_c 10.657
_cell_angle_alpha 90.00
_cell_angle_beta 90.00
_cell_angle_gamma 90.00
loop_
_atom_site_label
_atom_site_type_symbol
_atom_site_fract_x
_atom_site_fract_y
_atom_site_fract_z
_atom_site_occupancy
Pr1 Pr 0.000 0.226 0.250 1
Y1 Y 0.000 0.000 0.000 1
Zn1 Zn 0.000 0.476 0.750 1
Te1 Te 0.000 0.111 0.750 1
Te2 Te 0.000 0.352 0.547 1